Entry 1:
NaZn2Sn | PBE-GGA | relaxed

```
data_NaZn2Sn
_cell_length_a 4.6539
_cell_length_b 4.6539
_cell_length_c 19.1930
_cell_angle_alpha 90.00
_cell_angle_beta 90.00
_cell_angle_gamma 90.00
_space_group_name_H-M_alt 'I -4 2 d'
_space_group_IT_number 122
_space_group_name_Hall 'I -4 2bw'
loop_
_atom_site_label
_atom_site_type_symbol
_atom_site_fract_x
_atom_site_fract_y
_atom_site_fract_z
_atom_site_occupancy
Na1 Na 0.0000 0.0000 0.0000 1
Zn1 Zn 0.1476 0.2500 0.6250 1
Sn1 Sn 0.0000 0.0000 0.5000 1
```

Output
* electronic total energy: -7.17 eV per formula unit
* magnetization: 0.00 Bohr magnetons per cell
* ΔE_f: 174 meV per atom

***

Entry 2:
Na2ZnSn5 | PBE-GGA | relaxed

```
data_Na2ZnSn5
_cell_length_a 11.5284
_cell_length_b 6.5496
_cell_length_c 6.5485
_cell_angle_alpha 90.00
_cell_angle_beta 124.61
_cell_angle_gamma 90.00
_space_group_name_H-M_alt 'C 1 m 1'
_space_group_IT_number 8
loop_
_space_group_symop_operation_xyz
'x,y,z'
'x,-y,z'
'x+1/2,y+1/2,z'
'x+1/2,-y+1/2,z'
loop_
_atom_site_label
_atom_site_type_symbol
_atom_site_fract_x
_atom_site_fract_y
_atom_site_fract_z
_atom_site_occupancy
Na1 Na 0.0000 0.0000 0.0000 1
Na2 Na 0.9999 0.5000 0.4988 1
Zn1 Zn 0.4925 0.5000 0.4915 1
Sn1 Sn 0.0024 0.5000 0.0015 1
Sn2 Sn 0.2503 0.2491 0.5004 1
Sn3 Sn 0.2496 0.2487 0.9974 1
```

Output
* electronic total energy: -24.47 eV per formula unit
* magnetization: 0.00 Bohr magnetons per cell
* ΔE_f: -68 meV per atom

***

Entry 3:
Na2ZnSn | PBE-GGA | relaxed

```
data_Na2ZnSn
_cell_length_a 3.3121
_cell_length_b 3.3121
_cell_length_c 33.6032
_cell_angle_alpha 90.00
_cell_angle_beta 90.00
_cell_angle_gamma 120.00
_space_group_name_H-M_alt 'R -3 m'
_space_group_IT_number 166
_space_group_name_Hall '-R 3 2"'
loop_
_atom_site_label
_atom_site_type_symbol
_atom_site_fract_x
_atom_site_fract_y
_atom_site_fract_z
_atom_site_occupancy
Na1 Na 0.0000 0.0000 0.0940 1
Zn1 Zn 0.0000 0.0000 0.5000 1
Sn1 Sn 0.0000 0.0000 0.0000 1
```

Output
* electronic total energy: -7.41 eV per formula unit
* magnetization: 0.00 Bohr magnetons per cell
* ΔE_f: 127 meV per atom

***

Entry 4:
NaZnSn4 | PBE-GGA | relaxed

```
data_NaZnSn4
_cell_length_a 6.0048
_cell_length_b 6.3943
_cell_length_c 9.1014
_cell_angle_alpha 74.16
_cell_angle_beta 86.24
_cell_angle_gamma 68.37
_space_group_name_H-M_alt 'P -1'
_space_group_IT_number 2
loop_
_space_group_symop_operation_xyz
'x,y,z'
'-x,-y,-z'
loop_
_atom_site_label
_atom_site_type_symbol
_atom_site_fract_x
_atom_site_fract_y
_atom_site_fract_z
_atom_site_occupancy
Na1 Na 0.2180 0.0128 0.2354 1
Zn1 Zn 0.3358 0.4565 0.2649 1
Sn1 Sn 0.1581 0.3543 0.8833 1
Sn2 Sn 0.2232 0.5879 0.5489 1
Sn3 Sn 0.2786 0.0466 0.5949 1
Sn4 Sn 0.3276 0.7738 0.9486 1
```

Output
* electronic total energy: -18.66 eV per formula unit
* offset from the most stable computed form: 0.0 meV per atom
* magnetization: 0.00 Bohr magnetons per cell
* ΔE_f: -9 meV per atom